Entry 1:
A plane-wave DFT calculation with SCAN was carried out for a PBEsol-optimized structure of AsBr2Cl.

Output
DFT total energy in eV/atom: -16.65
Calculated volume in Å³/f.u.: 106.8
Symmetry: No. 166
Uncorrected formation energy in eV/f.u.: 0.5
Offset from the most stable computed form in eV per atom: 0.6124
ρ in Mg/m³: 4.2

Lattice parameters (Å, degrees): 3.7366 3.7366 9.0941 78.14 78.14 60.00
Fractional positions:
As 0.5000 0.5000 0.5000
Br 0.8991 0.8991 0.3026
Br 0.1009 0.1009 0.6974
Cl 0.0000 0.0000 0.0000

Entry 2:
A plane-wave DFT calculation with SCAN was carried out for a PBEsol-optimized structure of MgAlIn2.

Output
DFT total energy in eV/atom: -19.83
Calculated volume in Å³/f.u.: 88.3
Symmetry: No. 99
Formation energy in kJ/mol of atoms: 3.9
ρ in Mg/m³: 5.3

Lattice parameters (Å, degrees): 3.1520 3.1520 8.8864 90.00 90.00 89.99
Fractional positions:
Al 0.5000 0.5000 0.2629
Mg 0.0000 0.0000 0.4845
In 0.0000 0.0000 0.0171
In 0.5000 0.5000 0.7355

Entry 3:
A plane-wave DFT calculation with SCAN was carried out for a PBEsol-optimized structure of TaRhAu2.

Output
DFT total energy in eV/atom: -59.93
Calculated volume in Å³/f.u.: 64.0
Symmetry: No. 25
Formation energy in kJ/mol of atoms: -25.7
Offset from the most stable computed form in eV per atom: 0.0279
ρ in Mg/m³: 17.6

Lattice parameters (Å, degrees): 2.8944 3.8898 5.6836 90.00 90.00 90.00
Fractional positions:
Au 0.0000 0.0000 0.9997
Au 0.5000 0.5000 0.2520
Ta 0.5000 0.5000 0.7338
Rh 0.0000 0.0000 0.5145

ρ of number 3 (TaRhAu2)?
17.6 Mg/m³